Computed, not measured: a relaxed structure of FeGeBiO4 at the PBE+U level of DFT.

## Properties
DOS at the Fermi energy   3.0 states/eV per cell
Raw total energy   -170.142 eV for the cell shown
Mass density   6967 kg/m3

Cell: 6.2074 7.0168 8.7877 Å, 90.00 90.00 90.00°
Space group Imma (No. 74)
Asymmetric unit:
Fe  0.0000  0.0000  0.0000 x4
Ge  0.0000  0.2500  0.3591 x4
Bi  0.2500  0.2500  0.7500 x4
O  0.0000  0.0376  0.2424 x8
O  0.2391  0.2500  0.4813 x8